Entry 1:
Mg2Sc3: PBEsol geometry, meta-GGA SCAN.

Cell and atoms, written as CIF:
```
data_Mg2Sc3
_space_group_name_H-M_alt 'R -3 m'
_space_group_IT_number 166
_space_group_name_Hall '-R 3 2"'
_cell_length_a 3.2194
_cell_length_b 3.2194
_cell_length_c 39.1732
_cell_angle_alpha 90.00
_cell_angle_beta 90.00
_cell_angle_gamma 120.00
loop_
_atom_site_label
_atom_site_fract_x
_atom_site_fract_y
_atom_site_fract_z
Mg1 0.0000 0.0000 0.1002
Sc1 0.0000 0.0000 0.3006
Sc2 0.0000 0.0000 0.5000
```

Results
As for the volume: 351.6 Å³/cell. The final energy comes out at -0.3870 hartree per atom. As for the spin magnetization: 3.08 Bohr magnetons per cell.

=====

Entry 2:
Mg8Sc: PBEsol geometry, meta-GGA SCAN.

Cell and atoms, written as CIF:
```
data_Mg8Sc
_space_group_name_H-M_alt 'I 4/m m m'
_space_group_IT_number 139
_space_group_name_Hall '-I 4 2'
_cell_length_a 9.374
_cell_length_b 9.374
_cell_length_c 4.611
_cell_angle_alpha 90.00
_cell_angle_beta 90.00
_cell_angle_gamma 90.00
loop_
_atom_site_label
_atom_site_fract_x
_atom_site_fract_y
_atom_site_fract_z
Mg1 0.000 0.334 0.000
Mg2 0.167 0.167 0.500
Sc1 0.000 0.000 0.000
```

Results
As for the volume: 405.2 Å³/cell. The final energy comes out at -0.2206 hartree per atom. As for the spin magnetization: 0.00 Bohr magnetons per cell.